A plane-wave DFT calculation with PBE-GGA was carried out for a geometry-optimized HfReTe2 structure.

Output
For the magnetic moment, the calculation gives 0.20 μB per atom. As for the space group: F-43m. The total energy is -6.49 eV per atom.

```
HfReTe2
1.0
1.672 -4.243 -1.936
-2.212 -4.285 1.139
-2.678 -2.390 -3.415
Te Hf Re
2 1 1
Cartesian
-1.609 -5.459 -2.106
-2.414 -8.188 -3.159
-0.805 -2.729 -1.053
0.000 0.000 0.000
```

A plane-wave DFT calculation with PBE-GGA was carried out for a geometry-optimized RbTmNp structure.

Output
For the magnetic moment, the calculation gives 2.27 μB per atom. As for the space group: F-43m. For the excess energy over the best structure of this formula in the dataset, the calculation gives 0.2054 eV per atom. The total energy is -4.15 eV per atom.

```
RbTmNp
1.0
0.000 4.039 4.039
4.039 0.000 4.039
4.039 4.039 0.000
Np Tm Rb
1 1 1
Cartesian
2.019 2.019 2.019
6.058 6.058 6.058
0.000 0.000 0.000
```

A plane-wave DFT calculation with PBE-GGA was carried out for a geometry-optimized Cu2PtF8 structure.

Output
For the magnetic moment, the calculation gives 0.02 μB per atom. As for the space group: I-4. The total energy is -3.72 eV per atom.

```
Cu2PtF8
1.0
-2.362 2.362 5.220
2.362 -2.362 5.220
2.362 2.362 -5.220
F Cu Pt
8 2 1
Cartesian
1.150 0.949 5.977
3.674 0.928 1.818
1.435 1.311 3.402
1.212 1.413 0.758
-1.311 1.435 7.038
-0.949 1.150 4.462
3.312 1.212 -0.758
0.928 1.051 -1.818
0.000 0.000 7.177
0.000 0.000 3.262
0.000 0.000 0.000
```

A plane-wave DFT calculation with PBE-GGA was carried out for a geometry-optimized SmDyBrNCl2 structure.

Output
For the magnetic moment, the calculation gives 0.00 μB per atom. As for the space group: C2/m. For the excess energy over the best structure of this formula in the dataset, the calculation gives 0.0087 eV per atom. The total energy is -5.86 eV per atom.

```
SmDyBrNCl2
1.0
-5.302 7.159 -2.960
-5.922 4.495 -5.730
-3.054 -7.779 8.163
N Cl Br Sm Dy
2 4 2 2 2
Cartesian
-7.346 -1.625 3.208
-6.932 5.501 -3.736
-5.177 -0.018 1.177
-9.101 3.894 -1.705
-2.654 1.480 -0.828
-11.625 2.396 0.301
-11.587 9.292 -6.338
-2.691 -5.417 5.811
-2.464 -0.628 1.156
-11.814 4.503 -1.683
-4.869 4.678 -3.407
-9.409 -0.803 2.879
```

A plane-wave DFT calculation with PBE-GGA was carried out for a geometry-optimized HoReB4 structure.

Output
For the magnetic moment, the calculation gives 0.00 μB per atom. As for the space group: P6/mmm. For the excess energy over the best structure of this formula in the dataset, the calculation gives 0.3066 eV per atom. The total energy is -7.57 eV per atom.

```
HoReB4
1.0
-3.107 0.105 0.405
1.734 -1.991 1.689
0.808 4.891 4.937
B Re Ho
4 1 1
Cartesian
-1.310 0.515 1.952
-0.868 3.188 4.650
0.746 2.490 5.078
0.304 -0.184 2.380
0.000 0.000 0.000
0.404 2.446 2.468
```

A plane-wave DFT calculation with PBE-GGA was carried out for a geometry-optimized BaTbNO structure.

Output
For the magnetic moment, the calculation gives 0.00 μB per atom. As for the space group: P4/nmm. For the excess energy over the best structure of this formula in the dataset, the calculation gives 0.3262 eV per atom. The total energy is -6.54 eV per atom.

```
BaTbNO
1.0
1.758 2.641 3.467
-3.767 2.802 -0.221
-4.063 -4.999 5.867
N Tb O Ba
2 2 2 2
Cartesian
-2.361 -0.926 3.495
-3.711 1.370 5.618
-4.417 0.262 3.634
-1.655 0.182 5.479
0.377 2.681 2.545
-2.385 2.761 0.701
-5.113 -0.355 7.642
-0.959 0.799 1.471
```

A plane-wave DFT calculation with PBE-GGA was carried out for a geometry-optimized SrPrSi2 structure.

Output
For the magnetic moment, the calculation gives 0.00 μB per atom. As for the space group: Cmcm. The total energy is -4.42 eV per atom.

```
SrPrSi2
1.0
-8.225 2.632 2.096
4.805 -4.933 -5.616
-0.472 -3.840 2.970
Si Sr Pr
4 2 2
Cartesian
4.180 -7.656 -3.228
1.015 -5.818 -1.355
-8.072 1.514 2.678
-4.906 -0.324 0.804
2.634 -4.702 -3.659
-6.526 -1.440 3.108
-3.518 -3.186 1.328
-0.373 -2.955 -1.879
```

A plane-wave DFT calculation with PBE-GGA was carried out for a geometry-optimized TaBe2Ge structure.

Output
For the magnetic moment, the calculation gives 0.11 μB per atom. As for the space group: F-43m. The total energy is -5.44 eV per atom.

```
TaBe2Ge
1.0
0.000 3.000 3.000
3.000 0.000 3.000
3.000 3.000 0.000
Be Ta Ge
2 1 1
Cartesian
4.500 4.500 4.500
0.000 0.000 0.000
1.500 1.500 1.500
3.000 3.000 3.000
```